Density functional theory data (PBE-GGA) for a relaxed structure of CuMoPb2.

```
data_CuMoPb2
_chemical_formula_sum 'Cu1 Mo1 Pb2'
_space_group_name_H-M_alt 'P 4 m m'
_space_group_IT_number 99
_cell_length_a 3.7570
_cell_length_b 3.7570
_cell_length_c 5.8595
_cell_angle_alpha 90.00
_cell_angle_beta 90.00
_cell_angle_gamma 90.00
loop_
_space_group_symop_operation_xyz
'x,y,z'
'-y,x,z'
'-x,-y,z'
'y,-x,z'
'-x,y,z'
'y,x,z'
'x,-y,z'
'-y,-x,z'
loop_
_atom_site_label
_atom_site_fract_x
_atom_site_fract_y
_atom_site_fract_z
Cu1 0.0000 0.0000 0.0000
Mo1 0.5000 0.5000 0.2642
Pb1 0.0000 0.0000 0.4574
Pb2 0.5000 0.5000 0.7931
```

- Crystal system: tetragonal
- Formation enthalpy at 0 K: 0.59 eV/atom
- Offset from the most stable computed form: 0.155 eV per atom
- Energy: -19.98 eV/cell